<1>
The following is a GGA-PBE calculation of Sc3CdCl after structural relaxation, from Alexandria.

a b c (Å): 5.373 5.373 5.373
angles (deg): 90.00 90.00 90.00
Space group Pm-3m (No. 221)
One atom of each set of equivalent atoms:
1 Sc 0.000 0.000 0.500 (multiplicity 3)
2 Cd 0.000 0.000 0.000 (multiplicity 1)
3 Cl 0.500 0.500 0.500 (multiplicity 1)

---

<2>
The following is a GGA-PBE calculation of Sc3CdCl after structural relaxation, from Alexandria.

a b c (Å): 4.790 4.790 4.790
angles (deg): 90.00 90.00 90.00
Space group Pm-3m (No. 221)
One atom of each set of equivalent atoms:
1 Sc 0.000 0.000 0.500 (multiplicity 3)
2 Cd 0.500 0.500 0.500 (multiplicity 1)
3 Cl 0.000 0.000 0.000 (multiplicity 1)

---

Quick ranking, most stable first: <2>, <1>.

---

<1>
The following is a GGA-PBE calculation of CdSe2Cl after structural relaxation, from Alexandria.

a b c (Å): 4.325 4.309 7.429
angles (deg): 90.00 95.85 90.00
Space group Pm (No. 6)
One atom of each set of equivalent atoms:
1 Cd 0.000 0.000 0.000 (multiplicity 1)
2 Se 0.400 0.500 0.264 (multiplicity 1)
3 Se 0.678 0.000 0.288 (multiplicity 1)
4 Cl 0.963 0.500 0.805 (multiplicity 1)

---

<2>
The following is a GGA-PBE calculation of CdSe2Cl after structural relaxation, from Alexandria.

a b c (Å): 7.029 7.029 7.029
angles (deg): 90.00 90.00 90.00
Space group F-43m (No. 216)
One atom of each set of equivalent atoms:
1 Cd 0.000 0.000 0.000 (multiplicity 4)
2 Se 0.000 0.000 0.500 (multiplicity 4)
3 Se 0.250 0.250 0.250 (multiplicity 4)
4 Cl 0.250 0.250 0.750 (multiplicity 4)

---

Quick ranking, most stable first: <1>, <2>.

---

<1>
The following is a GGA-PBE calculation of Cd2Se2Cl after structural relaxation, from Alexandria.

a b c (Å): 8.161 8.161 3.399
angles (deg): 90.00 90.00 90.00
Space group P4/mbm (No. 127)
One atom of each set of equivalent atoms:
1 Cd 0.166 0.334 0.000 (multiplicity 4)
2 Se 0.139 0.639 0.500 (multiplicity 4)
3 Cl 0.000 0.000 0.000 (multiplicity 2)

---

<2>
The following is a GGA-PBE calculation of Cd2Se2Cl after structural relaxation, from Alexandria.

a b c (Å): 6.452 6.557 7.459
angles (deg): 93.90 107.26 116.02
Space group P-1 (No. 2)
One atom of each set of equivalent atoms:
1 Cd 0.106 0.336 0.443 (multiplicity 2)
2 Cd 0.320 0.850 0.159 (multiplicity 2)
3 Se 0.112 0.424 0.804 (multiplicity 2)
4 Se 0.222 0.036 0.840 (multiplicity 2)
5 Cl 0.460 0.234 0.435 (multiplicity 2)

---

Quick ranking, most stable first: <2>, <1>.

---

<1>
The following is a GGA-PBE calculation of CdSeCl3 after structural relaxation, from Alexandria.

a b c (Å): 5.093 5.093 5.093
angles (deg): 90.00 90.00 90.00
Space group Pm-3m (No. 221)
One atom of each set of equivalent atoms:
1 Cd 0.000 0.000 0.000 (multiplicity 1)
2 Se 0.500 0.500 0.500 (multiplicity 1)
3 Cl 0.000 0.500 0.500 (multiplicity 3)

---

<2>
The following is a GGA-PBE calculation of CdSeCl3 after structural relaxation, from Alexandria.

a b c (Å): 5.222 5.222 5.222
angles (deg): 90.00 90.00 90.00
Space group Pm-3m (No. 221)
One atom of each set of equivalent atoms:
1 Cd 0.000 0.000 0.000 (multiplicity 1)
2 Se 0.500 0.500 0.500 (multiplicity 1)
3 Cl 0.000 0.000 0.500 (multiplicity 3)

---

Quick ranking, most stable first: <2>, <1>.

---

<1>
The following is a GGA-PBE calculation of CdSi2Cl after structural relaxation, from Alexandria.

a b c (Å): 2.901 5.087 5.363
angles (deg): 90.00 90.00 90.00
Space group Pmmm (No. 47)
One atom of each set of equivalent atoms:
1 Cd 0.000 0.000 0.000 (multiplicity 1)
2 Si 0.500 0.500 0.239 (multiplicity 2)
3 Cl 0.000 0.000 0.500 (multiplicity 1)

---

<2>
The following is a GGA-PBE calculation of CdSi2Cl after structural relaxation, from Alexandria.

a b c (Å): 3.022 3.022 8.495
angles (deg): 90.00 90.00 90.00
Space group P4/mmm (No. 123)
One atom of each set of equivalent atoms:
1 Cd 0.000 0.000 0.000 (multiplicity 1)
2 Si 0.500 0.500 0.254 (multiplicity 2)
3 Cl 0.000 0.000 0.500 (multiplicity 1)

---

Quick ranking, most stable first: <1>, <2>.

---

<1>
The following is a GGA-PBE calculation of CdSi2Cl after structural relaxation, from Alexandria.

a b c (Å): 6.755 6.755 6.755
angles (deg): 90.00 90.00 90.00
Space group F-43m (No. 216)
One atom of each set of equivalent atoms:
1 Cd 0.000 0.000 0.000 (multiplicity 4)
2 Si 0.000 0.000 0.500 (multiplicity 4)
3 Si 0.250 0.250 0.750 (multiplicity 4)
4 Cl 0.250 0.250 0.250 (multiplicity 4)

---

<2>
The following is a GGA-PBE calculation of CdSi2Cl after structural relaxation, from Alexandria.

a b c (Å): 3.0103 3.0103 29.1052
angles (deg): 90.00 90.00 120.00
Space group R-3m (No. 166, hexagonal axes)
One atom of each set of equivalent atoms:
1 Cd 0.0000 0.0000 0.0000 (multiplicity 3)
2 Si 0.0000 0.0000 0.2426 (multiplicity 6)
3 Cl 0.0000 0.0000 0.5000 (multiplicity 3)

---

<3>
The following is a GGA-PBE calculation of CdSi2Cl after structural relaxation, from Alexandria.

a b c (Å): 6.777 6.777 6.777
angles (deg): 90.00 90.00 90.00
Space group Fm-3m (No. 225)
One atom of each set of equivalent atoms:
1 Cd 0.000 0.000 0.000 (multiplicity 4)
2 Si 0.250 0.250 0.250 (multiplicity 8)
3 Cl 0.000 0.000 0.500 (multiplicity 4)

---

Quick ranking, most stable first: <2>, <1>, <3>.